18
Lattice="-4.165 1.271 1.175 -2.671 -6.930 -1.971 2.080 -4.334 12.061" Properties=species:S:1:pos:R:3 comment="AcSnIr, optimized geometry, DFT PBE-GGA" ef_ev_per_atom=-0.693 de_polymorph_ev_per_atom=0.006 pbc="T T T"
Sn -2.395 -2.443 7.140
Sn -1.257 -3.088 11.872
Ac -1.001 -5.648 6.891
Sn -3.181 -6.927 9.206
Sn -3.500 -6.905 -0.607
Ac -2.593 -0.505 4.342
Ir -0.760 -3.089 4.978
Ir -3.521 -0.994 1.581
Ac -2.164 -9.487 6.923
Ir -1.236 -8.998 9.683
Sn -2.362 -7.550 4.125
Ir -2.279 -4.203 9.457
Ir -2.478 -5.789 1.808
Ir -3.997 -6.904 6.287
Ac -3.756 -4.345 4.373
Ac -4.684 -3.887 0.588
Ac -0.073 -6.106 10.677
Sn -1.576 -3.066 2.059



80
Lattice="16.015 0.000 0.000 -5.338 15.099 0.000 -5.338 -7.549 13.076" Properties=species:S:1:pos:R:3 comment="Ac12Sn3Ir5, optimized geometry, DFT PBE-GGA" ef_ev_per_atom=-0.424 pbc="T T T"
Ac -1.389 5.358 11.489
Ac 1.902 -1.971 11.870
Ir 9.342 -0.944 8.172
Ac -0.767 9.579 1.104
Ir 1.335 -3.775 9.807
Ac 3.437 9.521 1.206
Ir -4.004 8.493 4.903
Sn 9.342 4.718 1.634
Ir -2.669 7.549 0.000
Sn 9.342 10.380 1.634
Ac -4.649 6.662 6.919
Ac -1.389 -4.053 9.229
Ac -1.902 0.059 10.766
Sn 12.011 0.000 3.269
Ac -2.846 -5.937 12.695
Ac -5.515 10.848 4.951
Ac 7.240 7.491 2.310
Ir -1.335 0.944 8.172
Ac 6.727 2.191 1.587
Ac 10.853 -3.298 8.125
Ir 4.004 11.324 3.269
Ir -1.335 12.268 1.634
Sn 4.004 0.000 9.807
Ir 6.673 6.606 4.903
Ac -1.980 -0.887 6.157
Ac 5.161 2.639 7.744
Ac -0.767 5.578 1.206
Ac 1.980 5.548 8.848
Ac 10.500 1.612 0.381
Ac 3.949 6.244 5.434
Ac 8.697 -1.114 2.691
Ir 8.007 0.000 0.000
Sn -4.004 2.831 11.441
Sn 6.673 0.944 4.903
Ac 6.106 -2.030 11.972
Ac -0.689 1.114 2.691
Ir 4.004 2.831 1.634
Ir -5.338 3.775 6.538
Ac 2.846 -2.639 7.744
Ir 5.338 -3.775 6.538
Ac 9.396 -5.358 11.489
Ac 6.028 6.435 10.385
Ac 9.987 0.887 6.157
Ac 1.389 1.305 7.642
Sn -4.004 -2.831 11.441
Sn 1.335 7.549 3.269
Ir 6.673 -4.718 11.441
Sn -6.673 7.549 9.807
Ac 0.177 4.911 5.332
Ac -4.058 12.908 1.587
Ac -6.106 -0.059 10.766
Ac 6.727 11.603 3.847
Ac 6.106 1.971 11.870
Ac 4.649 -2.001 4.228
Ir 6.673 3.775 9.807
Ac -5.161 5.937 12.695
Ac -3.358 8.663 10.385
Ir -2.669 -3.775 6.538
Sn 4.004 8.493 8.172
Ac 6.618 -1.305 7.642
Ac 2.492 10.188 5.332
Ir 1.335 4.718 11.441
Ac 3.358 2.001 4.228
Ac 3.437 5.519 1.104
Ac -1.280 8.854 5.434
Ac -2.846 3.298 8.125
Ac 8.184 13.486 0.381
Ir 2.669 3.775 6.538
Ir 5.338 7.549 0.000
Ac -6.618 4.053 9.229
Ac 0.689 9.551 8.848
Ac 7.318 8.437 6.919
Sn 1.335 -0.944 4.903
Ac 1.902 2.030 11.972
Sn -1.335 6.606 8.172
Ir -1.335 3.775 3.269
Ac 8.184 4.251 4.951
Ir 0.000 0.000 0.000
Ac 11.444 7.608 2.310
Ac 11.956 3.496 3.847



14
Lattice="-4.484 -0.293 1.576 -2.172 -6.132 -0.126 2.872 -2.994 14.804" Properties=species:S:1:pos:R:3 comment="Ac3Sn3Ir, optimized geometry, DFT PBE-GGA" ef_ev_per_atom=-0.686 de_polymorph_ev_per_atom=0.000 pbc="T T T"
Ir -2.514 -2.053 6.851
Sn 0.161 -2.690 7.149
Ac 0.237 -4.622 14.197
Ac -2.807 -7.089 12.273
Sn 0.302 -7.989 13.754
Sn -5.442 -6.139 4.954
Sn -3.944 -6.729 9.106
Ac -1.315 -4.102 9.881
Ir -1.269 -7.366 9.404
Ac -0.976 -2.330 3.981
Ac -2.468 -5.318 6.374
Sn 1.660 -3.280 11.301
Ac -4.020 -4.797 2.058
Sn -4.084 -1.430 2.501



20
Lattice="8.863 0.000 0.000 -2.954 8.356 0.000 -2.954 -4.178 7.237" Properties=species:S:1:pos:R:3 comment="Ac3Sn4Ir3, optimized geometry, DFT PBE-GGA" ef_ev_per_atom=-0.597 pbc="T T T"
Ir 2.216 6.267 1.809
Sn 1.602 4.178 0.000
Ac 3.693 3.656 2.714
Ir 3.693 -2.611 6.332
Sn 1.928 0.814 3.618
Ac 0.739 -2.089 5.427
Ac -0.739 2.089 1.809
Ir -2.216 4.700 2.714
Ir 3.693 2.089 5.427
Sn 0.451 4.992 3.618
Sn 4.882 0.638 1.105
Ac -0.739 6.789 0.905
Sn -2.503 -3.540 6.132
Ac 0.739 2.611 6.332
Sn 6.033 4.178 0.000
Ir -0.739 0.522 4.523
Sn -2.503 2.727 4.723
Ac 5.170 -0.522 4.523
Sn -1.026 -1.451 2.514
Ir 2.216 1.567 0.905